(1)
The following is a DFT calculation (PBE-GGA) of a relaxed CeDy5Sc crystal.

The space group is Cm (No. 8) and the conventional cell measures 6.7975, 9.9748 and 6.8497 Å, with angles of 90.00, 106.50 and 90.00 degrees. Symmetry generates all atoms from Ce at (0.0000, 0.0000, 0.0000), Dy at (0.0012, 0.0000, 0.5004), Dy at (0.1852, 0.2844, 0.2341), Dy at (0.3171, 0.2155, 0.7671) and Sc at (0.0013, 0.5000, 0.5008).

The density of states at the Fermi level is 27.37 states/eV per cell. The energy of formation is 0.23 eV/atom.

=====

(2)
The following is a DFT calculation (PBE-GGA) of a relaxed CeDy2Sc crystal.

The space group is P4/mmm (No. 123) and the conventional cell measures 4.8906, 4.8906 and 4.8788 Å, with angles of 90.00, 90.00 and 90.00 degrees. Symmetry generates all atoms from Ce at (0.0000, 0.0000, 0.0000), Dy at (0.0000, 0.5000, 0.5000) and Sc at (0.5000, 0.5000, 0.0000).

The density of states at the Fermi level is 7.40 states/eV per cell. The excess energy over the best structure of this formula in the dataset comes out at 3 meV/atom. The energy of formation is 0.08 eV/atom.

=====

(3)
The following is a DFT calculation (PBE-GGA) of a relaxed CeDy12Sc7 crystal.

The space group is R-3 (No. 148, hexagonal axes) and the conventional cell measures 15.2243, 15.2243 and 8.7355 Å, with angles of 90.00, 90.00 and 120.00 degrees. Symmetry generates all atoms from Ce at (0.0000, 0.0000, 0.0000), Dy at (0.0304, 0.2634, 0.3527), Dy at (0.0693, 0.5654, 0.6613), Sc at (0.0000, 0.0000, 0.5000) and Sc at (0.0159, 0.1529, 0.6981).

The density of states at the Fermi level is 99.78 states/eV per cell. The energy of formation is 0.13 eV/atom.

=====

(4)
The following is a DFT calculation (PBE-GGA) of a relaxed CeDySc4 crystal.

The space group is Pmma (No. 51) and the conventional cell measures 6.9557, 5.4239 and 8.4066 Å, with angles of 90.00, 90.00 and 90.00 degrees. Symmetry generates all atoms from Ce at (0.2500, 0.0000, 0.2052), Dy at (0.2500, 0.0000, 0.8413), Sc at (0.0000, 0.0000, 0.5000), Sc at (0.0106, 0.5000, 0.1838) and Sc at (0.2500, 0.5000, 0.5050).

The density of states at the Fermi level is 24.56 states/eV per cell. The excess energy over the best structure of this formula in the dataset comes out at 124 meV/atom. The energy of formation is 0.19 eV/atom.

=====

(5)
The following is a DFT calculation (PBE-GGA) of a relaxed CeDy2Sc crystal.

The space group is R3m (No. 160, hexagonal axes) and the conventional cell measures 3.4572, 3.4572 and 33.7605 Å, with angles of 90.00, 90.00 and 120.00 degrees. Symmetry generates all atoms from Ce at (0.0000, 0.0000, 0.0000), Dy at (0.0000, 0.0000, 0.2477), Dy at (0.0000, 0.0000, 0.4202) and Sc at (0.0000, 0.0000, 0.8343).

The density of states at the Fermi level is 20.97 states/eV per cell. The excess energy over the best structure of this formula in the dataset comes out at 0 meV/atom. The energy of formation is 0.07 eV/atom.

=====

(6)
The following is a DFT calculation (PBE-GGA) of a relaxed CeDy2Sc crystal.

The space group is P4/mmm (No. 123) and the conventional cell measures 3.4468, 3.4468 and 9.8293 Å, with angles of 90.00, 90.00 and 90.00 degrees. Symmetry generates all atoms from Ce at (0.0000, 0.0000, 0.0000), Dy at (0.5000, 0.5000, 0.2571) and Sc at (0.0000, 0.0000, 0.5000).

The density of states at the Fermi level is 8.35 states/eV per cell. The excess energy over the best structure of this formula in the dataset comes out at 7 meV/atom. The energy of formation is 0.08 eV/atom.

=====

(7)
The following is a DFT calculation (PBE-GGA) of a relaxed CeDy2Sc crystal.

The space group is Fm-3m (No. 225) and the conventional cell measures 7.8261, 7.8261 and 7.8261 Å, with angles of 90.00, 90.00 and 90.00 degrees. Symmetry generates all atoms from Ce at (0.0000, 0.0000, 0.0000), Dy at (0.2500, 0.2500, 0.2500) and Sc at (0.0000, 0.0000, 0.5000).

The density of states at the Fermi level is 40.82 states/eV per cell. The excess energy over the best structure of this formula in the dataset comes out at 108 meV/atom. The energy of formation is 0.18 eV/atom.

=====

(8)
The following is a DFT calculation (PBE-GGA) of a relaxed CeDy2Sc4 crystal.

The space group is Cm (No. 8) and the conventional cell measures 5.8845, 3.3974 and 19.0656 Å, with angles of 90.00, 95.91 and 90.00 degrees. Symmetry generates all atoms from Ce at (0.0000, 0.0000, 0.0000), Dy at (0.3086, 0.5000, 0.4231), Dy at (0.4047, 0.5000, 0.7110), Sc at (0.0927, 0.0000, 0.2780), Sc at (0.1191, 0.5000, 0.8558), Sc at (0.1902, 0.0000, 0.5670) and Sc at (0.2150, 0.5000, 0.1453).

The density of states at the Fermi level is 27.99 states/eV per cell. The excess energy over the best structure of this formula in the dataset comes out at 0 meV/atom. The energy of formation is 0.05 eV/atom.

=====

(9)
The following is a DFT calculation (PBE-GGA) of a relaxed Ce2DySc8 crystal.

The space group is C2/m (No. 12) and the conventional cell measures 8.4640, 14.9790 and 5.4787 Å, with angles of 90.00, 122.59 and 90.00 degrees. Symmetry generates all atoms from Ce at (0.0000, 0.1964, 0.0000), Dy at (0.0000, 0.5000, 0.5000), Sc at (0.0000, 0.2892, 0.5000), Sc at (0.0680, 0.0000, 0.2937) and Sc at (0.2140, 0.3848, 0.1773).

The density of states at the Fermi level is 42.74 states/eV per cell. The energy of formation is 0.20 eV/atom.

=====

(10)
The following is a DFT calculation (PBE-GGA) of a relaxed Ce2DySc12 crystal.

The space group is P4/nbm (No. 125, origin choice 2) and the conventional cell measures 5.9306, 5.9306 and 23.7579 Å, with angles of 90.00, 90.00 and 90.00 degrees. Symmetry generates all atoms from Ce at (0.2500, 0.7500, 0.2205), Dy at (0.2500, 0.7500, 0.5000), Sc at (0.0663, 0.5663, 0.3810), Sc at (0.0802, 0.5802, 0.0589), Sc at (0.2500, 0.2500, 0.1555) and Sc at (0.2500, 0.2500, 0.2839).

The density of states at the Fermi level is 58.70 states/eV per cell. The energy of formation is 0.33 eV/atom.

=====

(11)
The following is a DFT calculation (PBE-GGA) of a relaxed CeDy2Sc6 crystal.

The space group is P4_2/mnm (No. 136) and the conventional cell measures 5.0305, 5.0305 and 20.6301 Å, with angles of 90.00, 90.00 and 90.00 degrees. Symmetry generates all atoms from Ce at (0.0000, 0.0000, 0.0000), Dy at (0.0000, 0.0000, 0.2410), Sc at (0.1706, 0.1706, 0.5000) and Sc at (0.2334, 0.7666, 0.3840).

The density of states at the Fermi level is 30.87 states/eV per cell. The energy of formation is 0.64 eV/atom.

=====

(12)
The following is a DFT calculation (PBE-GGA) of a relaxed CeDy2ScSe6 crystal.

The space group is R3 (No. 146, hexagonal axes) and the conventional cell measures 7.1813, 7.1813 and 19.3395 Å, with angles of 90.00, 90.00 and 120.00 degrees. Symmetry generates all atoms from Ce at (0.0000, 0.0000, 0.0000), Dy at (0.0000, 0.0000, 0.1968), Dy at (0.0000, 0.0000, 0.7025), Sc at (0.0000, 0.0000, 0.5071), Se at (0.0092, 0.3598, 0.7692) and Se at (0.0464, 0.6789, 0.2660).

The density of states at the Fermi level is 15.66 states/eV per cell. The uncorrected formation energy comes out at -1.761 eV/atom.

=====

(13)
The following is a DFT calculation (PBE-GGA) of a relaxed Ce3Dy2ScSe6 crystal.

The space group is C2/m (No. 12) and the conventional cell measures 7.0558, 12.2368 and 7.2079 Å, with angles of 90.00, 109.10 and 90.00 degrees. Symmetry generates all atoms from Ce at (0.0000, 0.0000, 0.0000), Ce at (0.0000, 0.3296, 0.0000), Dy at (0.0000, 0.1659, 0.5000), Sc at (0.0000, 0.5000, 0.5000), Se at (0.2392, 0.3377, 0.7317) and Se at (0.2456, 0.5000, 0.2640).

The density of states at the Fermi level is 38.56 states/eV per cell. The uncorrected formation energy comes out at -1.762 eV/atom.

=====

(14)
The following is a DFT calculation (PBE-GGA) of a relaxed Ce3DySc3Se8 crystal.

The space group is R-3m (No. 166, hexagonal axes) and the conventional cell measures 7.9994, 7.9994 and 20.1479 Å, with angles of 90.00, 90.00 and 120.00 degrees. Symmetry generates all atoms from Ce at (0.0000, 0.5000, 0.0000), Dy at (0.0000, 0.0000, 0.5000), Sc at (0.0000, 0.5000, 0.5000), Se at (0.0000, 0.0000, 0.2413) and Se at (0.0155, 0.5078, 0.7548).

The density of states at the Fermi level is 60.63 states/eV per cell. The uncorrected formation energy comes out at -1.781 eV/atom.

=====

(15)
The following is a DFT calculation (PBE-GGA) of a relaxed CeDy2ScSe4 crystal.

The space group is P2/m (No. 10) and the conventional cell measures 7.0311, 4.0384 and 7.0755 Å, with angles of 90.00, 109.10 and 90.00 degrees. Symmetry generates all atoms from Ce at (0.0000, 0.0000, 0.0000), Dy at (0.5000, 0.0000, 0.5000), Dy at (0.5000, 0.5000, 0.0000), Sc at (0.0000, 0.5000, 0.5000), Se at (0.2436, 0.0000, 0.7371) and Se at (0.2523, 0.5000, 0.2620).

The density of states at the Fermi level is 8.89 states/eV per cell. The uncorrected formation energy comes out at -1.711 eV/atom.

=====

(16)
The following is a DFT calculation (PBE-GGA) of a relaxed Ce2DyScSe6 crystal.

The space group is R3 (No. 146, hexagonal axes) and the conventional cell measures 7.2732, 7.2732 and 19.1323 Å, with angles of 90.00, 90.00 and 120.00 degrees. Symmetry generates all atoms from Ce at (0.0000, 0.0000, 0.0000), Ce at (0.0000, 0.0000, 0.4983), Dy at (0.0000, 0.0000, 0.2012), Sc at (0.0000, 0.0000, 0.6986), Se at (0.0474, 0.3412, 0.7721) and Se at (0.0532, 0.6938, 0.2750).

The density of states at the Fermi level is 32.16 states/eV per cell. The uncorrected formation energy comes out at -1.744 eV/atom.

=====

(17)
The following is a DFT calculation (PBE-GGA) of a relaxed Ce3DySc2Se6 crystal.

The space group is C2/m (No. 12) and the conventional cell measures 6.9874, 12.1140 and 7.1697 Å, with angles of 90.00, 109.02 and 90.00 degrees. Symmetry generates all atoms from Ce at (0.0000, 0.0000, 0.0000), Ce at (0.0000, 0.3373, 0.0000), Dy at (0.0000, 0.5000, 0.5000), Sc at (0.0000, 0.1675, 0.5000), Se at (0.2320, 0.0000, 0.7252) and Se at (0.2479, 0.3288, 0.7297).

The density of states at the Fermi level is 38.70 states/eV per cell. The uncorrected formation energy comes out at -1.730 eV/atom.

=====

(18)
The following is a DFT calculation (PBE-GGA) of a relaxed Ce2DyScSe5 crystal.

The space group is P4/mmm (No. 123) and the conventional cell measures 5.1799, 5.1799 and 10.4291 Å, with angles of 90.00, 90.00 and 90.00 degrees. Symmetry generates all atoms from Ce at (0.0000, 0.0000, 0.2052), Dy at (0.5000, 0.5000, 0.0000), Sc at (0.5000, 0.5000, 0.5000), Se at (0.0000, 0.0000, 0.5000), Se at (0.0000, 0.5000, 0.0000) and Se at (0.5000, 0.5000, 0.2631).

The density of states at the Fermi level is 19.91 states/eV per cell. The uncorrected formation energy comes out at -1.251 eV/atom.

=====

(19)
The following is a DFT calculation (PBE-GGA) of a relaxed CeDy2Sc3Se6 crystal.

The space group is C2/m (No. 12) and the conventional cell measures 17.4334, 3.9781 and 8.0451 Å, with angles of 90.00, 103.53 and 90.00 degrees. Symmetry generates all atoms from Ce at (0.0000, 0.0000, 0.0000), Dy at (0.1646, 0.5000, 0.3303), Sc at (0.0000, 0.0000, 0.5000), Sc at (0.1646, 0.5000, 0.8370), Se at (0.0035, 0.5000, 0.7331), Se at (0.1646, 0.0000, 0.5925) and Se at (0.1738, 0.0000, 0.0780).

The density of states at the Fermi level is 22.90 states/eV per cell. The uncorrected formation energy comes out at -1.677 eV/atom.

=====

(20)
The following is a DFT calculation (PBE-GGA) of a relaxed CeSmDySc crystal.

The space group is F-43m (No. 216) and the conventional cell measures 7.8515, 7.8515 and 7.8515 Å, with angles of 90.00, 90.00 and 90.00 degrees. Symmetry generates all atoms from Ce at (0.0000, 0.0000, 0.0000), Sm at (0.0000, 0.0000, 0.5000), Dy at (0.2500, 0.2500, 0.7500) and Sc at (0.2500, 0.2500, 0.2500).

The density of states at the Fermi level is 35.41 states/eV per cell. The energy of formation is 0.15 eV/atom.

=====

(21)
The following is a DFT calculation (PBE-GGA) of a relaxed CeDyScSn crystal.

The space group is F-43m (No. 216) and the conventional cell measures 7.4166, 7.4166 and 7.4166 Å, with angles of 90.00, 90.00 and 90.00 degrees. Symmetry generates all atoms from Ce at (0.0000, 0.0000, 0.0000), Dy at (0.2500, 0.2500, 0.2500), Sc at (0.2500, 0.2500, 0.7500) and Sn at (0.0000, 0.0000, 0.5000).

The density of states at the Fermi level is 30.95 states/eV per cell. The energy of formation is -0.21 eV/atom.

=====

(22)
The following is a DFT calculation (PBE-GGA) of a relaxed Tb3Ce2Dy6Sc crystal.

The space group is C2/m (No. 12) and the conventional cell measures 6.0897, 10.5465 and 11.6648 Å, with angles of 90.00, 100.02 and 90.00 degrees. Symmetry generates all atoms from Tb at (0.0000, 0.0000, 0.0000), Tb at (0.0000, 0.3341, 0.0000), Ce at (0.0000, 0.1663, 0.5000), Dy at (0.2484, 0.3338, 0.7462), Dy at (0.2498, 0.0000, 0.7466) and Sc at (0.0000, 0.5000, 0.5000).

The density of states at the Fermi level is 43.03 states/eV per cell. The energy of formation is 0.05 eV/atom.